This record from the Alexandria database describes a geometry-optimized Sc2MoOF structure. The functional is GGA-PBEsol.

## Properties
Raw formation energy, eV per atom: -0.096
Energy, eV per atom: -6.53
Size of the total moment, μB/f.u.: 0.0

a = 3.9520 Å, b = 4.8651 Å, c = 4.8651 Å
α = 90.00°, β = 90.00°, γ = 90.00°
Closest atoms and distances in Å follow each position.
Element x y z (fractional)
O (0.5000, 0.5000, 0.5000)  8 Sc 3.13, 4 F 3.44
F (0.5000, 0.0000, 0.0000)  2 Mo 1.98
Sc (0.0000, 0.5000, 0.0000)  2 Mo 2.43
Sc (0.0000, 0.0000, 0.5000)  2 Mo 2.43
Mo (0.0000, 0.0000, 0.0000)  2 F 1.98